#i
Below is a relaxed KBi3Au2 crystal, with properties calculated at the GGA-PBE level.

a = 17.283 Å, b = 4.627 Å, c = 9.743 Å
α = 90.00°, β = 104.38°, γ = 90.00°
Space group C2/m (No. 12)
Unique sites:
K1 0.134 0.000 0.055 x4
Bi1 0.004 0.000 0.327 x4
Bi2 0.153 0.500 0.754 x4
Bi3 0.166 0.500 0.393 x4
Au1 0.003 0.500 0.142 x4
Au2 0.156 0.000 0.575 x4


#ii
Below is a relaxed KBi3Au2 crystal, with properties calculated at the GGA-PBE level.

a = 20.024 Å, b = 4.706 Å, c = 12.104 Å
α = 90.00°, β = 106.12°, γ = 90.00°
Space group C2/m (No. 12)
Unique sites:
K1 0.000 0.000 0.000 x2
K2 0.153 0.000 0.696 x4
Bi1 0.000 0.500 0.500 x2
Bi2 0.040 0.000 0.332 x4
Bi3 0.126 0.500 0.193 x4
Bi4 0.172 0.500 0.952 x4
Bi5 0.214 0.000 0.383 x4
Au1 0.037 0.500 0.793 x4
Au2 0.144 0.500 0.465 x4
Au3 0.188 0.000 0.103 x4


The structure with the greatest stability is #ii.


#i
Below is a relaxed K8BiAu2 crystal, with properties calculated at the GGA-PBE level.

a = 5.796 Å, b = 9.207 Å, c = 17.290 Å
α = 90.00°, β = 90.00°, γ = 90.00°
Space group Immm (No. 71)
Unique sites:
K1 0.000 0.000 0.145 x4
K2 0.000 0.222 0.341 x8
K3 0.000 0.301 0.000 x4
Bi1 0.000 0.500 0.500 x2
Au1 0.000 0.500 0.182 x4


#ii
Below is a relaxed K8BiAu2 crystal, with properties calculated at the GGA-PBE level.

a = 10.512 Å, b = 15.247 Å, c = 6.373 Å
α = 90.00°, β = 104.57°, γ = 90.00°
Space group C2/m (No. 12)
Unique sites:
K1 0.000 0.239 0.000 x4
K2 0.137 0.500 0.811 x4
K3 0.185 0.127 0.581 x8
Bi1 0.000 0.000 0.000 x2
Au1 0.000 0.319 0.500 x4


The structure with the greatest stability is #ii.


#i
Below is a relaxed KNaBiAu crystal, with properties calculated at the GGA-PBE level.

a = 5.144 Å, b = 5.389 Å, c = 10.601 Å
α = 90.00°, β = 90.00°, γ = 90.00°
Space group Amm2 (No. 38)
Unique sites:
K1 0.000 0.000 0.000 x2
Na1 0.500 0.000 0.719 x2
Bi1 0.500 0.000 0.396 x2
Au1 0.000 0.000 0.305 x2


#ii
Below is a relaxed KNaBiAu crystal, with properties calculated at the GGA-PBE level.

a = 7.569 Å, b = 7.569 Å, c = 7.569 Å
α = 90.00°, β = 90.00°, γ = 90.00°
Space group F-43m (No. 216)
Unique sites:
K1 0.000 0.000 0.000 x4
Na1 0.250 0.250 0.250 x4
Bi1 0.000 0.000 0.500 x4
Au1 0.250 0.250 0.750 x4


The structure with the greatest stability is #i.


#i
Below is a relaxed Li2BiAu6 crystal, with properties calculated at the GGA-PBE level.

a = 14.515 Å, b = 8.171 Å, c = 2.962 Å
α = 90.00°, β = 98.17°, γ = 90.00°
Space group C2/m (No. 12)
Unique sites:
Li1 0.149 0.000 0.120 x4
Bi1 0.000 0.500 0.000 x2
Au1 0.000 0.165 0.500 x4
Au2 0.178 0.322 0.691 x8


#ii
Below is a relaxed Li2BiAu6 crystal, with properties calculated at the GGA-PBE level.

a = 3.288 Å, b = 11.782 Å, c = 9.069 Å
α = 90.00°, β = 90.00°, γ = 90.00°
Space group Amm2 (No. 38)
Unique sites:
Li1 0.000 0.212 0.000 x4
Bi1 0.500 0.000 0.510 x2
Au1 0.000 0.000 0.813 x2
Au2 0.000 0.123 0.275 x4
Au3 0.500 0.000 0.064 x2
Au4 0.500 0.189 0.747 x4


The structure with the greatest stability is #ii.